5
Lattice="4.811 0.000 0.000 0.000 4.811 0.000 0.000 0.000 4.811" Properties=species:S:1:pos:R:3 comment="PBEsol Ti3PtF, optimized geometry" magmom_total_mub_per_cell=3.05 dos_ef_per_ev_fu=4.71 total_energy_ha_per_atom=-0.2395 rho_kg_m3=5333 pbc="T T T"
Ti 0.000 0.000 2.406
Ti 0.000 2.406 0.000
Ti 2.406 0.000 0.000
Pt 0.000 0.000 0.000
F 2.406 2.406 2.406